Entry 1:
A plane-wave DFT calculation with PBE-GGA was carried out for a geometry-optimized CeErPaHg structure.

Cell: 5.282 5.282 5.282 Å, 60.00 60.00 60.00°
Fractional coordinates of all 4 atoms:
Pa 0.000 0.000 0.000
Hg 0.500 0.500 0.500
Ce 0.250 0.250 0.250
Er 0.750 0.750 0.750

Values from the calculation:
**SG**: F-43m (216)
**Total DFT energy (no corrections)**: -19.6 eV/cell
**Fermi-level density of states**: 10.04 states/eV/cell
**Formation energy from the elements**: 17.17 kJ/mol of atoms

***

Entry 2:
A plane-wave DFT calculation with PBE-GGA was carried out for a geometry-optimized ErTm2Bi4 structure.

Cell: 4.470 6.060 16.900 Å, 90.00 90.00 111.64°
Fractional coordinates of all 14 atoms:
Er 0.560 0.119 0.750
Er 0.440 0.881 0.250
Tm 0.160 0.320 0.426
Tm 0.840 0.680 0.926
Tm 0.160 0.320 0.074
Tm 0.840 0.680 0.574
Bi 0.849 0.699 0.122
Bi 0.849 0.699 0.378
Bi 0.151 0.301 0.878
Bi 0.151 0.301 0.622
Bi 0.852 0.705 0.750
Bi 0.148 0.295 0.250
Bi 0.500 0.000 0.000
Bi 0.500 0.000 0.500

Values from the calculation:
**SG**: Cmcm (63)
**Total DFT energy (no corrections)**: -65.5 eV/cell
**Fermi-level density of states**: 6.11 states/eV/cell
**Formation energy from the elements**: -51.08 kJ/mol of atoms

***

Entry 3:
A plane-wave DFT calculation with PBE-GGA was carried out for a geometry-optimized Pr3Ho4Te8 structure.

Cell: 8.816 8.833 8.833 Å, 90.05 119.88 119.88°
Fractional coordinates of all 15 atoms:
Pr 0.500 0.500 0.000
Pr 0.500 0.000 0.500
Pr 0.500 0.500 0.500
Ho 0.500 0.000 0.000
Ho 0.000 0.500 0.000
Ho 0.000 0.000 0.000
Ho 0.000 0.000 0.500
Te 0.502 0.246 0.246
Te 0.000 0.749 0.251
Te 0.990 0.246 0.246
Te 0.500 0.755 0.245
Te 0.500 0.245 0.755
Te 0.010 0.754 0.754
Te 0.000 0.251 0.749
Te 0.498 0.754 0.754

Values from the calculation:
**SG**: C2/m (12)
**Formation energy from raw total energies**: -1.3821 eV per atom
**Total DFT energy (no corrections)**: -78.5 eV/cell
**Fermi-level density of states**: 6.93 states/eV/cell

***

Entry 4:
A plane-wave DFT calculation with PBE-GGA was carried out for a geometry-optimized Mn2TlW structure.

Cell: 4.514 4.514 4.514 Å, 60.00 60.00 60.00°
Fractional coordinates of all 4 atoms:
Mn 0.000 0.000 0.000
Mn 0.750 0.750 0.750
Tl 0.500 0.500 0.500
W 0.250 0.250 0.250

Values from the calculation:
**SG**: F-43m (216)
**Energy above the most stable polymorph in this dataset**: 5.905 kcal/mol of atoms
**Total DFT energy (no corrections)**: -30.8 eV/cell
**Fermi-level density of states**: 2.50 states/eV/cell
**Formation energy from the elements**: 69.35 kJ/mol of atoms

***

Entry 5:
A plane-wave DFT calculation with PBE-GGA was carried out for a geometry-optimized Cs4GeO4 structure.

Cell: 19.331 7.217 7.249 Å, 66.76 90.00 90.00°
Fractional coordinates of all 36 atoms:
Cs 0.808 0.849 0.698
Cs 0.010 0.791 0.786
Cs 0.205 0.653 0.824
Cs 0.428 0.662 0.814
Cs 0.692 0.849 0.198
Cs 0.490 0.791 0.286
Cs 0.295 0.653 0.324
Cs 0.072 0.662 0.314
Cs 0.928 0.338 0.686
Cs 0.705 0.347 0.676
Cs 0.510 0.209 0.714
Cs 0.308 0.151 0.802
Cs 0.572 0.338 0.186
Cs 0.795 0.347 0.176
Cs 0.990 0.209 0.214
Cs 0.192 0.151 0.302
Ge 0.622 0.755 0.759
Ge 0.878 0.755 0.259
Ge 0.122 0.245 0.741
Ge 0.378 0.245 0.241
O 0.655 0.991 0.577
O 0.563 0.795 0.932
O 0.845 0.991 0.077
O 0.937 0.795 0.432
O 0.693 0.602 0.912
O 0.581 0.605 0.642
O 0.081 0.395 0.858
O 0.807 0.602 0.412
O 0.193 0.398 0.588
O 0.919 0.605 0.142
O 0.419 0.395 0.358
O 0.307 0.398 0.088
O 0.063 0.205 0.568
O 0.155 0.009 0.923
O 0.437 0.205 0.068
O 0.345 0.009 0.423

Values from the calculation:
**SG**: P2_1/c (14)
**Energy above the most stable polymorph in this dataset**: 0.000 kcal/mol of atoms
**Formation energy from raw total energies**: -1.5718 eV per atom
**Total DFT energy (no corrections)**: -168.0 eV/cell
**Fermi-level density of states**: 0.00 states/eV/cell

***

Entry 6:
A plane-wave DFT calculation with PBE-GGA was carried out for a geometry-optimized RbTa2Rh structure.

Cell: 4.734 4.734 4.734 Å, 60.00 60.00 60.00°
Fractional coordinates of all 4 atoms:
Rh 0.500 0.500 0.500
Rb 0.000 0.000 0.000
Ta 0.250 0.250 0.250
Ta 0.750 0.750 0.750

Values from the calculation:
**SG**: Fm-3m (225)
**Energy above the most stable polymorph in this dataset**: 0.000 kcal/mol of atoms
**Total DFT energy (no corrections)**: -26.7 eV/cell
**Fermi-level density of states**: 3.60 states/eV/cell
**Formation energy from the elements**: 128.72 kJ/mol of atoms

***

Entry 7:
A plane-wave DFT calculation with PBE-GGA was carried out for a geometry-optimized BaScHg structure.

Cell: 4.929 4.929 32.057 Å, 90.00 90.00 120.00°
Fractional coordinates of all 18 atoms:
Sc 0.000 0.000 0.782
Sc 0.333 0.667 0.449
Sc 0.667 0.333 0.116
Sc 0.000 0.000 0.395
Sc 0.333 0.667 0.062
Sc 0.667 0.333 0.729
Ba 0.000 0.000 0.522
Ba 0.333 0.667 0.189
Ba 0.667 0.333 0.855
Ba 0.000 0.000 0.968
Ba 0.333 0.667 0.634
Ba 0.667 0.333 0.301
Hg 0.000 0.000 0.104
Hg 0.333 0.667 0.771
Hg 0.667 0.333 0.438
Hg 0.000 0.000 0.693
Hg 0.333 0.667 0.360
Hg 0.667 0.333 0.027

Values from the calculation:
**SG**: R3m (160)
**Energy above the most stable polymorph in this dataset**: 2.415 kcal/mol of atoms
**Total DFT energy (no corrections)**: -54.4 eV/cell
**Fermi-level density of states**: 24.77 states/eV/cell
**Formation energy from the elements**: -16.62 kJ/mol of atoms

***

Entry 8:
A plane-wave DFT calculation with PBE-GGA was carried out for a geometry-optimized Np3Ge3Ir2 structure.

Cell: 4.626 5.342 13.557 Å, 90.00 90.00 115.66°
Fractional coordinates of all 16 atoms:
Np 0.915 0.830 0.380
Np 0.085 0.170 0.880
Np 0.915 0.830 0.120
Np 0.085 0.170 0.620
Np 0.720 0.439 0.250
Np 0.280 0.561 0.750
Ge 0.624 0.248 0.463
Ge 0.376 0.752 0.963
Ge 0.624 0.248 0.037
Ge 0.376 0.752 0.537
Ge 0.404 0.809 0.250
Ge 0.596 0.191 0.750
Ir 0.798 0.597 0.892
Ir 0.202 0.403 0.392
Ir 0.798 0.597 0.608
Ir 0.202 0.403 0.108

Values from the calculation:
**SG**: Cmcm (63)
**Energy above the most stable polymorph in this dataset**: 0.442 kcal/mol of atoms
**Total DFT energy (no corrections)**: -145.9 eV/cell
**Fermi-level density of states**: 31.04 states/eV/cell
**Formation energy from the elements**: -30.94 kJ/mol of atoms

***

Entry 9:
A plane-wave DFT calculation with PBE-GGA was carried out for a geometry-optimized LiYGa4 structure.

Cell: 4.305 5.602 5.602 Å, 74.66 67.41 67.41°
Fractional coordinates of all 6 atoms:
Li 0.000 0.500 0.000
Y 0.000 0.000 0.500
Ga 0.665 0.540 0.630
Ga 0.335 0.460 0.370
Ga 0.335 0.869 0.960
Ga 0.665 0.131 0.040

Values from the calculation:
**SG**: Immm (71)
**Energy above the most stable polymorph in this dataset**: 0.927 kcal/mol of atoms
**Total DFT energy (no corrections)**: -23.3 eV/cell
**Fermi-level density of states**: 1.82 states/eV/cell
**Formation energy from the elements**: -44.56 kJ/mol of atoms

***

Entry 10:
A plane-wave DFT calculation with PBE-GGA was carried out for a geometry-optimized Ac3AgSn3 structure.

Cell: 4.950 6.588 15.279 Å, 84.44 80.68 67.93°
Fractional coordinates of all 14 atoms:
Ac 0.537 0.311 0.616
Ac 0.463 0.689 0.384
Ac 0.255 0.263 0.228
Ac 0.745 0.737 0.772
Ac 0.401 0.276 0.922
Ac 0.599 0.724 0.078
Ag 0.758 0.089 0.394
Ag 0.242 0.911 0.606
Sn 0.863 0.730 0.544
Sn 0.137 0.270 0.456
Sn 0.122 0.832 0.924
Sn 0.878 0.168 0.076
Sn 0.965 0.836 0.234
Sn 0.035 0.164 0.766

Values from the calculation:
**SG**: C2/m (12)
**Energy above the most stable polymorph in this dataset**: 0.000 kcal/mol of atoms
**Total DFT energy (no corrections)**: -63.5 eV/cell
**Fermi-level density of states**: 9.08 states/eV/cell
**Formation energy from the elements**: -62.69 kJ/mol of atoms

***

Entry 11:
A plane-wave DFT calculation with PBE-GGA was carried out for a geometry-optimized CeDy5 structure.

Cell: 5.000 5.012 7.914 Å, 108.46 90.00 90.00°
Fractional coordinates of all 6 atoms:
Ce 0.000 0.000 0.000
Dy 0.000 0.667 0.334
Dy 0.000 0.333 0.666
Dy 0.500 0.500 0.000
Dy 0.500 0.164 0.329
Dy 0.500 0.836 0.671

Values from the calculation:
**SG**: Cmmm (65)
**Energy above the most stable polymorph in this dataset**: 0.141 kcal/mol of atoms
**Total DFT energy (no corrections)**: -28.6 eV/cell
**Fermi-level density of states**: 10.70 states/eV/cell
**Formation energy from the elements**: 5.13 kJ/mol of atoms

***

Entry 12:
A plane-wave DFT calculation with PBE-GGA was carried out for a geometry-optimized SrTbSc4Se8 structure.

Cell: 8.161 8.161 8.323 Å, 60.64 60.64 60.00°
Fractional coordinates of all 14 atoms:
Sr 0.369 0.369 0.893
Tb 0.002 0.002 0.994
Sc 0.626 0.626 0.121
Sc 0.001 0.497 0.502
Sc 0.497 0.001 0.502
Sc 0.001 0.001 0.502
Se 0.244 0.794 0.719
Se 0.794 0.244 0.719
Se 0.244 0.244 0.719
Se 0.231 0.231 0.308
Se 0.751 0.233 0.264
Se 0.233 0.751 0.264
Se 0.751 0.751 0.264
Se 0.757 0.757 0.728

Values from the calculation:
**SG**: R3m (160)
**Formation energy from raw total energies**: -1.6595 eV per atom
**Total DFT energy (no corrections)**: -82.7 eV/cell
**Fermi-level density of states**: 6.67 states/eV/cell